Record 1
A plane-wave DFT calculation with PBE was carried out for crystalline Fe2CoBr at its relaxed geometry.

Cell lengths 4.873, 4.873, 4.873 Å; angles 135.62, 135.62, 64.57 degrees
Each line ends with the local moment (μB).
Positions (direct):
Fe: 0.250 0.750 0.500  2.86
Fe: 0.000 0.000 0.000  2.80
Br: 0.500 0.500 0.000  0.13
Co: 0.750 0.250 0.500  1.72

distance to the lowest polymorph of the same formula	1.620	eV/f.u.
volume	56	Å³ per cell
crystal system	tetragonal
energy relative to the elements, uncorrected	2.98	eV per formula unit
Fermi-level density of states	4.39	states/eV/cell

=====

Record 2
A plane-wave DFT calculation with PBE was carried out for crystalline Fe2CoBr at its relaxed geometry.

Cell lengths 3.161, 3.161, 6.167 Å; angles 90.00, 90.00, 90.00 degrees
Each line ends with the local moment (μB).
Positions (direct):
Fe: 0.000 0.000 0.562  2.90
Fe: 0.000 0.000 0.938  2.90
Br: 0.500 0.500 0.250  0.12
Co: 0.500 0.500 0.750  1.87

distance to the lowest polymorph of the same formula	0.350	eV/f.u.
volume	62	Å³ per cell
crystal system	tetragonal
energy relative to the elements, uncorrected	1.71	eV per formula unit
Fermi-level density of states	3.68	states/eV/cell